# 1
## Nd4Dy2Sc3 (PBE)

Data for a geometry-optimized Nd4Dy2Sc3 structure.

```
Nd4Dy2Sc3
1.0
5.010 0.000 0.001
2.504 5.406 0.994
-0.002 1.354 10.401
Dy Nd Sc
2 4 3
direct
0.330 0.341 0.772
0.670 0.659 0.228
0.334 0.331 0.113
0.006 0.988 0.336
0.666 0.669 0.887
0.994 0.012 0.664
0.664 0.672 0.551
0.336 0.328 0.449
0.000 0.000 0.000
```

Values from the calculation:
* space-group type: C2/m (12)
* volume: 30.55 A^3/atom
* energy of formation: 4.9 kJ/mol of atoms
* uncorrected energy: -46.82 eV for the cell shown
* total magnetization: 0.000 Bohr magnetons per cell

# 2
## Nd2Dy7Sc (PBE)

Data for a geometry-optimized Nd2Dy7Sc structure.

```
Nd2Dy7Sc
1.0
-1.034 3.248 0.577
-9.257 -4.786 10.357
12.893 4.989 -4.975
Sc Dy Nd
1 7 2
direct
0.000 0.000 0.000
0.500 0.853 0.661
0.500 0.339 0.147
0.500 0.500 0.500
0.500 0.147 0.339
0.500 0.661 0.853
0.000 0.184 0.816
0.000 0.816 0.184
0.500 0.707 0.293
0.500 0.293 0.707
```

Values from the calculation:
* space-group type: Cmmm (65)
* volume: 32.19 A^3/atom
* energy of formation: 16.6 kJ/mol of atoms
* uncorrected energy: -46.36 eV for the cell shown
* total magnetization: 0.000 Bohr magnetons per cell

# 3
## NdDy3Sc6 (PBE)

Data for a geometry-optimized NdDy3Sc6 structure.

```
NdDy3Sc6
1.0
8.210 0.000 4.357
2.949 7.662 4.357
2.045 1.404 6.061
Sc Dy Nd
6 3 1
direct
0.071 0.400 0.800
0.568 0.232 0.300
0.400 0.728 0.800
0.728 0.071 0.800
0.232 0.900 0.300
0.900 0.568 0.300
0.400 0.400 0.800
0.648 0.648 0.055
0.152 0.152 0.544
0.900 0.900 0.300
```

Values from the calculation:
* space-group type: R32 (155)
* volume: 28.09 A^3/atom
* energy of formation: 39.2 kJ/mol of atoms
* energy above the lowest structure with this stoichiometry: 5.72 kcal/mol of atoms
* uncorrected energy: -52.50 eV for the cell shown
* total magnetization: 0.001 Bohr magnetons per cell

# 4
## Nd12DySc2 (PBE)

Data for a geometry-optimized Nd12DySc2 structure.

```
Nd12DySc2
1.0
6.532 -1.564 0.000
-1.564 6.532 0.000
0.000 0.000 25.680
Nd Dy Sc
24 2 4
direct
0.500 0.500 0.679
0.227 0.727 0.618
0.805 0.695 0.444
0.195 0.305 0.444
0.500 0.500 0.197
0.000 0.000 0.679
0.500 0.500 0.321
0.749 0.751 0.074
0.273 0.773 0.382
0.695 0.805 0.556
0.251 0.751 0.872
0.000 0.000 0.321
0.305 0.195 0.556
0.727 0.227 0.382
0.751 0.251 0.128
0.749 0.249 0.872
0.751 0.749 0.926
0.249 0.251 0.926
0.249 0.749 0.128
0.000 0.000 0.197
0.500 0.500 0.803
0.773 0.273 0.618
0.251 0.249 0.074
0.000 0.000 0.803
0.500 0.000 0.999
0.000 0.500 0.001
0.500 0.000 0.739
0.000 0.500 0.741
0.500 0.000 0.259
0.000 0.500 0.261
```

Values from the calculation:
* space-group type: Cmme (67)
* volume: 34.43 A^3/atom
* energy of formation: 19.0 kJ/mol of atoms
* uncorrected energy: -143.04 eV for the cell shown
* total magnetization: 0.000 Bohr magnetons per cell